Material: Th3Mg
Method: DFT, PBE-GGA
State: relaxed

Computed properties:
- space-group type = Pmm2
- N(E_F) (states/eV/cell) = 5.908
- energy relative to the elements (eV per atom) = 0.0959

a b c (Å): 3.5019 5.7604 6.0399
angles (deg): 90.00 90.00 90.00
Last column: nearest neighbours and their distance in Å.
Sites, in units of the cell vectors:
Th: 0.0000 0.0000 0.0000  4 Mg 3.44-3.55, 8 Th 3.45-3.70
Th: 0.0000 0.5000 0.3834  8 Th 3.45-3.70, 4 Mg 3.46
Th: 0.5000 0.5000 0.8749  10 Th 3.45-3.54, 2 Mg 3.63
Mg: 0.5000 0.0000 0.5104  10 Th 3.44-3.63, 2 Mg 3.50

---

Material: Th2Mg17
Method: DFT, PBE-GGA
State: relaxed

Computed properties:
- space-group type = R-3m
- N(E_F) (states/eV/cell) = 9.848
- energy relative to the elements (eV per atom) = 0.0136

a b c (Å): 7.7630 7.7630 7.7630
angles (deg): 82.33 82.33 82.33
Last column: nearest neighbours and their distance in Å.
Sites, in units of the cell vectors:
Th: 0.1691 0.1691 0.1691  16 Mg 3.50-3.86
Th: 0.8309 0.8309 0.8309  16 Mg 3.50-3.86
Mg: 0.0000 0.5000 0.5000  10 Mg 2.97-3.12
Mg: 0.1466 0.1466 0.6603  8 Mg 2.91-3.18
Mg: 0.1466 0.6603 0.1466  8 Mg 2.91-3.18
Mg: 0.1972 0.5000 0.8028  8 Mg 2.97-3.18
Mg: 0.1972 0.8028 0.5000  8 Mg 2.97-3.18
Mg: 0.3397 0.8534 0.8534  8 Mg 2.91-3.18
Mg: 0.4005 0.4005 0.4005  7 Mg 3.01-3.28
Mg: 0.5000 0.0000 0.5000  10 Mg 2.97-3.12
Mg: 0.5000 0.1972 0.8028  8 Mg 2.97-3.18
Mg: 0.5000 0.5000 0.0000  10 Mg 2.97-3.12
Mg: 0.5000 0.8028 0.1972  8 Mg 2.97-3.18
Mg: 0.5995 0.5995 0.5995  7 Mg 3.01-3.28
Mg: 0.6603 0.1466 0.1466  8 Mg 2.91-3.18
Mg: 0.8028 0.1972 0.5000  8 Mg 2.97-3.18
Mg: 0.8028 0.5000 0.1972  8 Mg 2.97-3.18
Mg: 0.8534 0.3397 0.8534  8 Mg 2.91-3.18
Mg: 0.8534 0.8534 0.3397  8 Mg 2.91-3.18

---

Material: Th7Mg
Method: DFT, PBE-GGA
State: relaxed

Computed properties:
- space-group type = Fm-3m
- N(E_F) (states/eV/cell) = 12.622
- energy relative to the elements (eV per atom) = 0.0466

a b c (Å): 7.0673 7.0673 7.0673
angles (deg): 60.00 60.00 60.00
Last column: nearest neighbours and their distance in Å.
Sites, in units of the cell vectors:
Th: 0.0000 0.0000 0.0000  12 Th 3.53
Th: 0.0000 0.0000 0.5000  10 Th 3.53, 2 Mg 3.53
Th: 0.0000 0.5000 0.0000  10 Th 3.53, 2 Mg 3.53
Th: 0.0000 0.5000 0.5000  10 Th 3.53, 2 Mg 3.53
Th: 0.5000 0.0000 0.0000  10 Th 3.53, 2 Mg 3.53
Th: 0.5000 0.0000 0.5000  10 Th 3.53, 2 Mg 3.53
Th: 0.5000 0.5000 0.0000  10 Th 3.53, 2 Mg 3.53
Mg: 0.5000 0.5000 0.5000  12 Th 3.53

---

| no. | total moment (μB per formula unit) |
| --- | --- |
| 1 | 0.00 |
| 2 | 0.00 |
| 3 | 0.00 |